(1)
## BeIr2Au (GGA-PBE)

Data for crystalline BeIr2Au at its relaxed geometry.

```
BeIr2Au
1.0
2.8312 0.0000 0.0000
0.0000 2.8312 0.0000
0.0000 0.0000 6.8474
Be Ir Au
1 2 1
direct
0.0000 0.0000 0.0000 Be
0.5000 0.5000 0.1947 Ir
0.5000 0.5000 0.8053 Ir
0.0000 0.0000 0.5000 Au
```

Computed properties:
Energy of formation from the pure elements in eV/atom: -0.015
Calculated density in g/cm³: 17.86


(2)
## Be2IrAu2 (GGA-PBE)

Data for crystalline Be2IrAu2 at its relaxed geometry.

```
Be2IrAu2
1.0
6.5733 0.0000 0.0000
0.0000 6.5733 0.0000
0.0000 0.0000 3.0520
Be Ir Au
4 2 4
direct
0.1405 0.3595 0.0000 Be
0.3595 0.8595 0.0000 Be
0.6405 0.1405 0.0000 Be
0.8595 0.6405 0.0000 Be
0.0000 0.0000 0.0000 Ir
0.5000 0.5000 0.0000 Ir
0.1583 0.6583 0.5000 Au
0.3417 0.1583 0.5000 Au
0.6583 0.8417 0.5000 Au
0.8417 0.3417 0.5000 Au
```

Computed properties:
Energy of formation from the pure elements in eV/atom: -0.034
Calculated density in g/cm³: 15.22


(3)
## BeIr2Au (GGA-PBE)

Data for crystalline BeIr2Au at its relaxed geometry.

```
BeIr2Au
1.0
-1.4471 2.1990 4.3448
1.4471 -2.1990 4.3448
1.4471 2.1990 -4.3448
Be Ir Au
1 2 1
direct
0.0000 0.0000 0.0000 Be
0.2089 0.7089 0.5000 Ir
0.4904 0.4904 0.0000 Ir
0.7830 0.2830 0.5000 Au
```

Computed properties:
Energy of formation from the pure elements in eV/atom: 0.151
Calculated density in g/cm³: 17.73


(4)
## BeIr2Au (GGA-PBE)

Data for crystalline BeIr2Au at its relaxed geometry.

```
BeIr2Au
1.0
-1.9447 1.9447 3.7764
1.9447 -1.9447 3.7764
1.9447 1.9447 -3.7764
Be Ir Au
1 2 1
direct
0.0000 0.0000 0.0000 Be
0.2500 0.7500 0.5000 Ir
0.7500 0.2500 0.5000 Ir
0.5000 0.5000 0.0000 Au
```

Computed properties:
Energy of formation from the pure elements in eV/atom: 0.282
Calculated density in g/cm³: 17.16


(5)
## Be2Ir2Au (GGA-PBE)

Data for crystalline Be2Ir2Au at its relaxed geometry.

```
Be2Ir2Au
1.0
-2.0431 2.0431 4.1945
2.0431 -2.0431 4.1945
2.0431 2.0431 -4.1945
Be Ir Au
2 2 1
direct
0.2500 0.7500 0.5000 Be
0.7500 0.2500 0.5000 Be
0.1449 0.1449 0.0000 Ir
0.8551 0.8551 0.0000 Ir
0.5000 0.5000 0.0000 Au
```

Computed properties:
E above lowest polymorph in meV per atom: 343
Energy of formation from the pure elements in eV/atom: 0.140
Calculated density in g/cm³: 14.21


(6)
## Be2Ir2Au (GGA-PBE)

Data for crystalline Be2Ir2Au at its relaxed geometry.

```
Be2Ir2Au
1.0
6.9215 0.0000 0.0000
0.0000 6.9215 0.0000
0.0000 0.0000 2.7465
Be Ir Au
4 4 2
direct
0.1604 0.3396 0.0000 Be
0.3396 0.8396 0.0000 Be
0.6604 0.1604 0.0000 Be
0.8396 0.6604 0.0000 Be
0.1345 0.6345 0.5000 Ir
0.3655 0.1345 0.5000 Ir
0.6345 0.8655 0.5000 Ir
0.8655 0.3655 0.5000 Ir
0.0000 0.0000 0.5000 Au
0.5000 0.5000 0.5000 Au
```

Computed properties:
E above lowest polymorph in meV per atom: 125
Energy of formation from the pure elements in eV/atom: -0.078
Calculated density in g/cm³: 15.13


(7)
## BeIr2Au (GGA-PBE)

Data for crystalline BeIr2Au at its relaxed geometry.

```
BeIr2Au
1.0
1.3834 -2.3846 0.0000
1.3834 2.3846 0.0000
0.0000 0.0000 8.6711
Be Ir Au
1 2 1
direct
0.0000 0.0000 0.0000 Be
0.0000 0.0000 0.4789 Ir
0.5000 0.5000 0.2088 Ir
0.5000 0.5000 0.7718 Au
```

Computed properties:
Energy of formation from the pure elements in eV/atom: 0.156
Calculated density in g/cm³: 17.14


(8)
## BeIr2Au (GGA-PBE)

Data for crystalline BeIr2Au at its relaxed geometry.

```
BeIr2Au
1.0
0.0000 3.0727 3.0727
3.0727 0.0000 3.0727
3.0727 3.0727 0.0000
Be Ir Au
1 2 1
direct
0.0000 0.0000 0.0000 Be
0.2500 0.2500 0.2500 Ir
0.5000 0.5000 0.5000 Ir
0.7500 0.7500 0.7500 Au
```

Computed properties:
Energy of formation from the pure elements in eV/atom: 0.358
Calculated density in g/cm³: 16.90


(9)
## BeIr2Au (GGA-PBE)

Data for crystalline BeIr2Au at its relaxed geometry.

```
BeIr2Au
1.0
-1.3874 2.1770 4.5832
1.3874 -2.1770 4.5832
1.3874 2.1770 -4.5832
Be Ir Au
1 2 1
direct
0.0000 0.0000 0.0000 Be
0.2091 0.7091 0.5000 Ir
0.7909 0.2909 0.5000 Ir
0.5000 0.5000 0.0000 Au
```

Computed properties:
Energy of formation from the pure elements in eV/atom: -0.063
Calculated density in g/cm³: 17.71


(10)
## BeIr2Au (GGA-PBE)

Data for crystalline BeIr2Au at its relaxed geometry.

```
BeIr2Au
1.0
1.3704 0.7912 8.6850
-1.3704 0.7912 8.6850
0.0000 -1.5824 8.6850
Be Ir Au
1 2 1
direct
0.0000 0.0000 0.0000 Be
0.2641 0.2641 0.2641 Ir
0.7359 0.7359 0.7359 Ir
0.5000 0.5000 0.5000 Au
```

Computed properties:
Energy of formation from the pure elements in eV/atom: 0.004
Calculated density in g/cm³: 17.35


(11)
## Be2Ir2Au (GGA-PBE)

Data for crystalline Be2Ir2Au at its relaxed geometry.

```
Be2Ir2Au
1.0
6.5466 0.0000 0.0000
0.0000 6.5466 0.0000
0.0000 0.0000 2.9139
Be Ir Au
4 4 2
direct
0.1300 0.3700 0.0000 Be
0.3700 0.8700 0.0000 Be
0.6300 0.1300 0.0000 Be
0.8700 0.6300 0.0000 Be
0.1577 0.6577 0.5000 Ir
0.3423 0.1577 0.5000 Ir
0.6577 0.8423 0.5000 Ir
0.8423 0.3423 0.5000 Ir
0.0000 0.0000 0.0000 Au
0.5000 0.5000 0.0000 Au
```

Computed properties:
E above lowest polymorph in meV per atom: 0
Energy of formation from the pure elements in eV/atom: -0.203
Calculated density in g/cm³: 15.94


(12)
## BeIr2Au (GGA-PBE)

Data for crystalline BeIr2Au at its relaxed geometry.

```
BeIr2Au
1.0
2.7498 -3.6442 0.0000
2.7498 3.6442 0.0000
0.0000 0.0000 2.8549
Be Ir Au
1 2 1
direct
0.0000 0.0000 0.0000 Be
0.0000 0.5000 0.5000 Ir
0.5000 0.0000 0.5000 Ir
0.5000 0.5000 0.0000 Au
```

Computed properties:
Energy of formation from the pure elements in eV/atom: 0.258
Calculated density in g/cm³: 17.13


(13)
## BeIr2Au (GGA-PBE)

Data for crystalline BeIr2Au at its relaxed geometry.

```
BeIr2Au
1.0
2.6628 -4.6009 0.0000
2.6628 4.6009 0.0000
-1.3957 0.0000 2.3864
Be Ir Au
1 2 1
direct
0.0000 0.0000 0.0000 Be
0.0000 0.5000 0.5000 Ir
0.5000 0.0000 0.5000 Ir
0.5000 0.5000 0.0000 Au
```

Computed properties:
Energy of formation from the pure elements in eV/atom: 0.247
Calculated density in g/cm³: 16.77


(14)
## BeIr2Au (GGA-PBE)

Data for crystalline BeIr2Au at its relaxed geometry.

```
BeIr2Au
1.0
1.4081 -2.3342 0.0000
1.4081 2.3342 0.0000
0.0000 0.0000 8.6602
Be Ir Au
1 2 1
direct
0.0000 0.0000 0.0000 Be
0.5000 0.5000 0.2081 Ir
0.5000 0.5000 0.7919 Ir
0.0000 0.0000 0.5000 Au
```

Computed properties:
Energy of formation from the pure elements in eV/atom: 0.053
Calculated density in g/cm³: 17.22


(15)
## BeIr2Au (GGA-PBE)

Data for crystalline BeIr2Au at its relaxed geometry.

```
BeIr2Au
1.0
-1.8482 1.8482 9.1289
1.8482 -1.8482 9.1289
1.8482 1.8482 -9.1289
Be Ir Au
2 4 2
direct
0.0000 0.0000 0.0000 Be
0.7500 0.2500 0.5000 Be
0.1055 0.6250 0.9805 Ir
0.3750 0.3555 0.4805 Ir
0.6445 0.1250 0.0195 Ir
0.8750 0.8945 0.5195 Ir
0.2500 0.7500 0.5000 Au
0.5000 0.5000 0.0000 Au
```

Computed properties:
Energy of formation from the pure elements in eV/atom: 0.514
Calculated density in g/cm³: 15.72


(16)
## BeIr2Au (GGA-PBE)

Data for crystalline BeIr2Au at its relaxed geometry.

```
BeIr2Au
1.0
2.7838 0.0000 0.0000
0.0000 4.5639 0.0000
0.0000 0.0000 4.5651
Be Ir Au
1 2 1
direct
0.0000 0.0000 0.0000 Be
0.0000 0.5000 0.5000 Ir
0.5000 0.0000 0.5000 Ir
0.5000 0.5000 0.0000 Au
```

Computed properties:
Energy of formation from the pure elements in eV/atom: 0.224
Calculated density in g/cm³: 16.90


(17)
## Be3Ir2Au (GGA-PBE)

Data for crystalline Be3Ir2Au at its relaxed geometry.

```
Be3Ir2Au
1.0
2.8853 0.0000 0.0000
0.0000 2.8853 0.0000
0.0000 0.0000 8.4637
Be Ir Au
3 2 1
direct
0.0000 0.0000 0.0000 Be
0.0000 0.0000 0.2972 Be
0.0000 0.0000 0.7028 Be
0.5000 0.5000 0.1651 Ir
0.5000 0.5000 0.8349 Ir
0.5000 0.5000 0.5000 Au
```

Computed properties:
Energy of formation from the pure elements in eV/atom: -0.496
Calculated density in g/cm³: 14.34


(18)
## BeIr2Au (GGA-PBE)

Data for crystalline BeIr2Au at its relaxed geometry.

```
BeIr2Au
1.0
4.5182 -1.3959 0.0000
4.5182 1.3959 0.0000
-1.3515 0.0000 4.5701
Be Ir Au
1 2 1
direct
0.0000 0.0000 0.0000 Be
0.4804 0.4804 0.4091 Ir
0.7251 0.7251 0.2307 Ir
0.2609 0.2609 0.7509 Au
```

Computed properties:
Energy of formation from the pure elements in eV/atom: 0.112
Calculated density in g/cm³: 17.01


(19)
## BeIr2Au (GGA-PBE)

Data for crystalline BeIr2Au at its relaxed geometry.

```
BeIr2Au
1.0
-1.9345 1.9345 3.8050
1.9345 -1.9345 3.8050
1.9345 1.9345 -3.8050
Be Ir Au
1 2 1
direct
0.0000 0.0000 0.0000 Be
0.5000 0.5000 0.0000 Ir
0.7500 0.2500 0.5000 Ir
0.2500 0.7500 0.5000 Au
```

Computed properties:
Energy of formation from the pure elements in eV/atom: 0.222
Calculated density in g/cm³: 17.21


(20)
## BeIr2Au (GGA-PBE)

Data for crystalline BeIr2Au at its relaxed geometry.

```
BeIr2Au
1.0
2.8330 0.0000 0.0000
0.0000 3.8836 0.0000
-1.1503 0.0000 5.1637
Be Ir Au
1 2 1
direct
0.0000 0.0000 0.0000 Be
0.3549 0.5000 0.2130 Ir
0.6451 0.5000 0.7870 Ir
0.0000 0.0000 0.5000 Au
```

Computed properties:
Energy of formation from the pure elements in eV/atom: 0.062
Calculated density in g/cm³: 17.26


(21)
## BeIr2Au (GGA-PBE)

Data for crystalline BeIr2Au at its relaxed geometry.

```
BeIr2Au
1.0
3.9020 0.0000 0.0000
0.0000 3.9020 0.0000
0.0000 0.0000 3.7321
Be Ir Au
1 2 1
direct
0.0000 0.0000 0.0000 Be
0.0000 0.5000 0.5000 Ir
0.5000 0.0000 0.5000 Ir
0.5000 0.5000 0.0000 Au
```

Computed properties:
Energy of formation from the pure elements in eV/atom: 0.222
Calculated density in g/cm³: 17.25


(22)
## BeIr2Au (GGA-PBE)

Data for crystalline BeIr2Au at its relaxed geometry.

```
BeIr2Au
1.0
2.8017 0.0000 0.0000
0.0000 2.8017 0.0000
0.0000 0.0000 6.9881
Be Ir Au
1 2 1
direct
0.0000 0.0000 0.0000 Be
0.0000 0.0000 0.4637 Ir
0.5000 0.5000 0.1976 Ir
0.5000 0.5000 0.7734 Au
```

Computed properties:
Energy of formation from the pure elements in eV/atom: -0.055
Calculated density in g/cm³: 17.87


(23)
## BeIr2Au (GGA-PBE)

Data for crystalline BeIr2Au at its relaxed geometry.

```
BeIr2Au
1.0
3.5882 0.0000 0.0000
0.0000 1.3741 5.8048
0.0000 -1.3741 5.8048
Be Ir Au
1 2 1
direct
0.0000 0.0000 0.0000 Be
0.0000 0.2021 0.2021 Ir
0.5000 0.5736 0.5736 Ir
0.5000 0.8557 0.8557 Au
```

Computed properties:
Energy of formation from the pure elements in eV/atom: 0.081
Calculated density in g/cm³: 17.13


(24)
## BeIrAu4 (GGA-PBE)

Data for crystalline BeIrAu4 at its relaxed geometry.

```
BeIrAu4
1.0
0.0000 3.7918 3.7918
3.7918 0.0000 3.7918
3.7918 3.7918 0.0000
Be Ir Au
1 1 4
direct
0.0000 0.0000 0.0000 Be
0.2500 0.2500 0.2500 Ir
0.1249 0.6250 0.6250 Au
0.6250 0.1249 0.6250 Au
0.6250 0.6250 0.1249 Au
0.6250 0.6250 0.6250 Au
```

Computed properties:
Energy of formation from the pure elements in eV/atom: 0.742
Calculated density in g/cm³: 15.06


(25)
## K2BeIrAu (GGA-PBE)

Data for crystalline K2BeIrAu at its relaxed geometry.

```
K2BeIrAu
1.0
6.0976 0.0000 0.0000
0.0000 6.0976 0.0000
0.0000 0.0000 4.1594
K Be Ir Au
2 1 1 1
direct
0.0000 0.5000 0.0000 K
0.5000 0.0000 0.0000 K
0.0000 0.0000 0.0000 Be
0.0000 0.0000 0.5000 Ir
0.5000 0.5000 0.5000 Au
```

Computed properties:
Energy of formation from the pure elements in eV/atom: 0.594
Calculated density in g/cm³: 5.12


(26)
## La2BeIrAu (GGA-PBE)

Data for crystalline La2BeIrAu at its relaxed geometry.

```
La2BeIrAu
1.0
5.5282 0.0000 0.0000
0.0000 5.5282 0.0000
0.0000 0.0000 4.3619
La Be Ir Au
2 1 1 1
direct
0.0000 0.5000 0.0000 La
0.5000 0.0000 0.0000 La
0.0000 0.0000 0.5000 Be
0.0000 0.0000 0.0000 Ir
0.5000 0.5000 0.5000 Au
```

Computed properties:
Energy of formation from the pure elements in eV/atom: -0.455
Calculated density in g/cm³: 8.42


(27)
## LiBeIr2Au (GGA-PBE)

Data for crystalline LiBeIr2Au at its relaxed geometry.

```
LiBeIr2Au
1.0
4.1746 0.0000 0.0000
0.0000 4.1746 0.0000
0.0000 0.0000 4.1635
Li Be Ir Au
1 1 2 1
direct
0.0000 0.0000 0.0000 Li
0.5000 0.5000 0.5000 Be
0.0000 0.5000 0.0000 Ir
0.5000 0.0000 0.0000 Ir
0.0000 0.0000 0.5000 Au
```

Computed properties:
Energy of formation from the pure elements in eV/atom: 0.999
Calculated density in g/cm³: 13.67


(28)
## BePIrAu (GGA-PBE)

Data for crystalline BePIrAu at its relaxed geometry.

```
BePIrAu
1.0
2.9193 0.0000 0.0000
1.4412 3.9639 0.0000
0.0173 0.0142 5.3252
Be P Ir Au
1 1 1 1
direct
0.0000 0.0000 0.0000 Be
0.1205 0.7646 0.5684 P
0.4119 0.1842 0.6892 Ir
0.2782 0.4509 0.1744 Au
```

Computed properties:
E above lowest polymorph in meV per atom: 123
Energy of formation from the pure elements in eV/atom: -0.136
Calculated density in g/cm³: 11.56


(29)
## BePIrAu (GGA-PBE)

Data for crystalline BePIrAu at its relaxed geometry.

```
BePIrAu
1.0
3.3947 0.0000 0.0000
1.6846 3.9531 0.0000
1.6874 -0.3747 4.2804
Be P Ir Au
1 1 1 1
direct
0.0000 0.0000 0.0000 Be
0.1861 0.2000 0.4362 P
0.8262 0.8176 0.5357 Ir
0.3242 0.4275 0.9263 Au
```

Computed properties:
E above lowest polymorph in meV per atom: 98
Energy of formation from the pure elements in eV/atom: -0.161
Calculated density in g/cm³: 12.41


Record-wise DOS at the Fermi energy values, in states/eV/f.u.: 5.432, 2.115, 4.749, 4.470, 2.699, 2.967, 4.565, 4.364, 3.252, 4.440, 2.096, 2.991, 3.357, 4.706, 5.070, 3.911, 2.493, 2.393, 4.204, 3.738, 3.145, 3.545, 4.142, 3.377, 3.451, 2.419, 6.267, 1.612, 0.898